Entry 1:
First-principles (PBE) data for crystalline FeAsIr2 at its relaxed geometry, as listed in the Alexandria database.

Unit cell a=3.8687 b=2.7990 c=5.4831 alpha=75.20 beta=90.00 gamma=90.00
Last column: nearest neighbours and their distance in Å.
Atoms (fractional coordinates):
1 As 0.0000 0.2975 0.5310  3 Ir 2.40-2.45, 4 Fe 2.62
2 Fe 0.5000 0.6943 0.7364  4 As 2.62, 6 Ir 2.72-2.94, 2 Fe 2.80
3 Ir 0.0000 0.0706 0.9837  1 As 2.40
4 Ir 0.5000 0.4377 0.2489  2 As 2.45, 1 Fe 2.72

Raw total energy, eV/atom: -7.64
Fermi-level density of states, states/eV/atom: 0.965
Spin magnetization, μB per formula unit: 2.423

=====

Entry 2:
First-principles (PBE) data for crystalline Sm2HgPd9 at its relaxed geometry, as listed in the Alexandria database.

Unit cell a=4.1303 b=4.1303 c=12.4487 alpha=90.00 beta=90.00 gamma=90.00
Last column: nearest neighbours and their distance in Å.
Atoms (fractional coordinates):
1 Sm 0.0000 0.0000 0.3286  12 Pd 2.92-2.97
2 Sm 0.0000 0.0000 0.6714  12 Pd 2.92-2.97
3 Hg 0.0000 0.0000 0.0000  12 Pd 2.89-2.92
4 Pd 0.5000 0.5000 0.0000  8 Pd 2.89, 4 Hg 2.92
5 Pd 0.5000 0.5000 0.3326  4 Sm 2.92, 8 Pd 2.93-2.96
6 Pd 0.5000 0.5000 0.6674  4 Sm 2.92, 8 Pd 2.93-2.96
7 Pd 0.5000 0.0000 0.1620  2 Hg 2.89, 8 Pd 2.89-2.96, 2 Sm 2.93
8 Pd 0.5000 0.0000 0.5000  8 Pd 2.92-2.93, 4 Sm 2.97
9 Pd 0.5000 0.0000 0.8380  2 Hg 2.89, 8 Pd 2.89-2.96, 2 Sm 2.93
10 Pd 0.0000 0.5000 0.1620  2 Hg 2.89, 8 Pd 2.89-2.96, 2 Sm 2.93
11 Pd 0.0000 0.5000 0.5000  8 Pd 2.92-2.93, 4 Sm 2.97
12 Pd 0.0000 0.5000 0.8380  2 Hg 2.89, 8 Pd 2.89-2.96, 2 Sm 2.93

Raw total energy, eV/atom: -5.28
Fermi-level density of states, states/eV/atom: 0.858
Spin magnetization, μB per formula unit: 0.000